Record 1
Compound: AlGaS2N
Source: the Alexandria database
Functional: PBE-GGA
Structure: optimized geometry

POSCAR file:
```
AlGaS2N
1.0
4.874 0.000 0.000
0.000 4.874 0.000
0.000 0.000 3.643
Al Ga S N
1 1 2 1
Cartesian
0.000 0.000 0.000
2.437 2.437 1.822
0.000 2.437 1.822
2.437 0.000 1.822
2.437 2.437 0.000
```

Results
E	-0.14869	hartree per atom
ΔE_f (raw)	0.62	eV/atom
energy relative to the lowest polymorph listed for this composition	0.422	eV per atom
SG	No. 123

***

Record 2
Compound: AlGaS2N
Source: the Alexandria database
Functional: PBE-GGA
Structure: optimized geometry

POSCAR file:
```
AlGaS2N
1.0
4.814 0.000 0.000
0.000 4.814 0.000
0.000 0.000 3.608
Al Ga S N
1 1 2 1
Cartesian
0.000 0.000 0.000
2.407 2.407 1.804
0.000 2.407 0.000
2.407 0.000 0.000
0.000 0.000 1.804
```

Results
E	-0.16421	hartree per atom
ΔE_f (raw)	0.20	eV/atom
energy relative to the lowest polymorph listed for this composition	0.000	eV per atom
SG	No. 123

***

Record 3
Compound: AlGaSb2N
Source: the Alexandria database
Functional: PBE-GGA
Structure: optimized geometry

POSCAR file:
```
AlGaSb2N
1.0
5.350 0.000 0.000
0.000 5.350 0.000
0.000 0.000 3.613
Al Ga Sb N
1 1 2 1
Cartesian
0.000 0.000 0.000
2.675 2.675 0.000
0.000 2.675 1.807
2.675 0.000 1.807
0.000 0.000 1.807
```

Results
E	-0.16097	hartree per atom
ΔE_f (raw)	0.29	eV/atom
SG	No. 123

***

Record 4
Compound: ScAlGa2N
Source: the Alexandria database
Functional: PBE-GGA
Structure: optimized geometry

POSCAR file:
```
ScAlGa2N
1.0
5.412 0.000 0.000
0.000 5.412 0.000
0.000 0.000 3.968
Sc Al Ga N
1 1 2 1
Cartesian
0.000 0.000 0.000
2.706 2.706 1.984
0.000 2.706 0.000
2.706 0.000 0.000
0.000 0.000 1.984
```

Results
E	-0.15965	hartree per atom
ΔE_f (raw)	0.55	eV/atom
SG	No. 123

***

Record 5
Compound: Sc4AlGaN
Source: the Alexandria database
Functional: PBE-GGA
Structure: optimized geometry

POSCAR file:
```
Sc4AlGaN
1.0
3.063 -7.205 0.000
3.063 7.205 0.000
0.000 0.000 6.130
Sc Al Ga N
8 2 2 2
Cartesian
1.532 3.603 0.000
1.532 3.603 3.065
3.063 5.970 4.598
3.063 1.301 4.598
1.532 -3.603 0.000
1.532 -3.603 3.065
3.063 -1.301 1.533
3.063 -5.970 1.533
3.063 1.613 1.533
3.063 -1.613 4.598
3.063 5.545 1.533
3.063 -5.545 4.598
3.063 3.614 4.598
3.063 -3.614 1.533
```

Results
E	-0.24146	hartree per atom
ΔE_f (raw)	-0.80	eV/atom
SG	No. 63

***

Record 6
Compound: AlGaSe2N
Source: the Alexandria database
Functional: PBE-GGA
Structure: optimized geometry

POSCAR file:
```
AlGaSe2N
1.0
5.165 0.000 0.000
0.000 5.165 0.000
0.000 0.000 3.640
Al Ga Se N
1 1 2 1
Cartesian
0.000 0.000 0.000
2.583 2.583 1.820
0.000 2.583 1.820
2.583 0.000 1.820
2.583 2.583 0.000
```

Results
E	-0.14046	hartree per atom
ΔE_f (raw)	0.59	eV/atom
energy relative to the lowest polymorph listed for this composition	0.405	eV per atom
SG	No. 123

***

Record 7
Compound: AlGaSe2N
Source: the Alexandria database
Functional: PBE-GGA
Structure: optimized geometry

POSCAR file:
```
AlGaSe2N
1.0
5.218 0.000 0.000
0.000 5.218 0.000
0.000 0.000 3.526
Al Ga Se N
1 1 2 1
Cartesian
0.000 0.000 0.000
2.609 2.609 1.763
0.000 2.609 0.000
2.609 0.000 0.000
0.000 0.000 1.763
```

Results
E	-0.15536	hartree per atom
ΔE_f (raw)	0.19	eV/atom
energy relative to the lowest polymorph listed for this composition	0.000	eV per atom
SG	No. 123

***

Record 8
Compound: SrAlGa2N
Source: the Alexandria database
Functional: PBE-GGA
Structure: optimized geometry

POSCAR file:
```
SrAlGa2N
1.0
4.497 0.000 0.000
0.000 4.497 0.000
0.000 0.000 4.928
Sr Al Ga N
1 1 2 1
Cartesian
0.000 0.000 0.000
2.248 2.248 0.000
0.000 2.248 2.464
2.248 0.000 2.464
0.000 0.000 2.464
```

Results
E	-0.13923	hartree per atom
ΔE_f (raw)	0.17	eV/atom
SG	No. 123

***

Record 9
Compound: TaAlGa2N
Source: the Alexandria database
Functional: PBE-GGA
Structure: optimized geometry

POSCAR file:
```
TaAlGa2N
1.0
4.582 0.000 0.000
0.000 4.582 0.000
0.000 0.000 4.949
Ta Al Ga N
1 1 2 1
Cartesian
0.000 0.000 0.000
0.000 0.000 2.474
0.000 2.291 2.474
2.291 0.000 2.474
2.291 2.291 0.000
```

Results
E	-0.15178	hartree per atom
ΔE_f (raw)	1.86	eV/atom
SG	No. 123

***

Record 10
Compound: AlGaTeN2
Source: the Alexandria database
Functional: PBE-GGA
Structure: optimized geometry

POSCAR file:
```
AlGaTeN2
1.0
3.817 0.000 0.000
0.000 3.817 0.000
0.000 0.000 5.953
Al Ga Te N
1 1 1 2
Cartesian
0.000 0.000 0.000
1.909 1.909 2.977
0.000 0.000 2.977
0.000 1.909 0.000
1.909 0.000 0.000
```

Results
E	-0.16926	hartree per atom
ΔE_f (raw)	0.71	eV/atom
energy relative to the lowest polymorph listed for this composition	0.000	eV per atom
SG	No. 123

***

Record 11
Compound: AlGaTeN2
Source: the Alexandria database
Functional: PBE-GGA
Structure: optimized geometry

POSCAR file:
```
AlGaTeN2
1.0
3.925 0.000 0.000
0.000 3.925 0.000
0.000 0.000 6.011
Al Ga Te N
1 1 1 2
Cartesian
0.000 0.000 0.000
1.962 1.962 3.005
1.962 1.962 0.000
0.000 1.962 3.005
1.962 0.000 3.005
```

Results
E	-0.15303	hartree per atom
ΔE_f (raw)	1.15	eV/atom
energy relative to the lowest polymorph listed for this composition	0.441	eV per atom
SG	No. 123

***

Record 12
Compound: UAlGaN
Source: the Alexandria database
Functional: PBE-GGA
Structure: optimized geometry

POSCAR file:
```
UAlGaN
1.0
3.987 0.000 0.000
0.000 3.987 0.000
0.000 0.000 8.196
U Al Ga N
2 2 2 2
Cartesian
0.997 0.997 1.108
2.990 2.990 7.088
0.997 2.990 4.098
2.990 0.997 4.098
0.997 0.997 5.784
2.990 2.990 2.412
0.997 2.990 0.000
2.990 0.997 0.000
```

Results
E	-0.26832	hartree per atom
ΔE_f (raw)	-0.71	eV/atom
SG	No. 129

***

Record 13
Compound: Y4AlGaN
Source: the Alexandria database
Functional: PBE-GGA
Structure: optimized geometry

POSCAR file:
```
Y4AlGaN
1.0
3.319 -7.628 0.000
3.319 7.628 0.000
0.000 0.000 6.639
Y Al Ga N
8 2 2 2
Cartesian
1.660 3.814 0.000
1.660 3.814 3.320
3.319 6.406 4.979
3.319 1.286 4.979
1.660 -3.814 0.000
1.660 -3.814 3.320
3.319 -1.286 1.660
3.319 -6.406 1.660
3.319 1.762 1.660
3.319 -1.762 4.979
3.319 5.829 1.660
3.319 -5.829 4.979
3.319 3.813 4.979
3.319 -3.813 1.660
```

Results
E	-0.24178	hartree per atom
ΔE_f (raw)	-0.73	eV/atom
SG	No. 63

***

Record 14
Compound: Y12Al4GaN3
Source: the Alexandria database
Functional: PBE-GGA
Structure: optimized geometry

POSCAR file:
```
Y12Al4GaN3
1.0
-4.934 4.934 4.934
4.934 -4.934 4.934
4.934 4.934 -4.934
Y Al Ga N
12 4 1 3
Cartesian
2.633 0.000 0.000
7.235 0.000 0.000
4.934 2.467 0.000
4.934 0.000 2.467
0.000 2.633 0.000
0.000 0.000 2.633
2.467 4.934 0.000
2.467 0.000 4.934
0.000 7.235 0.000
0.000 0.000 7.235
0.000 4.934 2.467
0.000 2.467 4.934
2.467 2.467 -2.467
2.467 -2.467 2.467
-2.467 2.467 2.467
2.467 2.467 2.467
0.000 0.000 0.000
4.934 0.000 0.000
0.000 4.934 0.000
0.000 0.000 4.934
```

Results
E	-0.24544	hartree per atom
ΔE_f (raw)	-0.65	eV/atom
SG	No. 229

***

Record 15
Compound: Zr2AlGaN
Source: the Alexandria database
Functional: PBE-GGA
Structure: optimized geometry

POSCAR file:
```
Zr2AlGaN
1.0
5.280 0.000 0.000
0.000 5.280 0.000
0.000 0.000 3.475
Zr Al Ga N
2 1 1 1
Cartesian
0.000 2.640 0.000
2.640 0.000 0.000
0.000 0.000 0.000
2.640 2.640 1.738
0.000 0.000 1.738
```

Results
E	-0.21984	hartree per atom
ΔE_f (raw)	0.46	eV/atom
SG	No. 123

***

Record 16
Compound: ZrAl2GaN
Source: the Alexandria database
Functional: PBE-GGA
Structure: optimized geometry

POSCAR file:
```
ZrAl2GaN
1.0
5.471 0.000 0.000
0.000 5.471 0.000
0.000 0.000 4.103
Zr Al Ga N
1 2 1 1
Cartesian
0.000 0.000 0.000
0.000 2.735 0.000
2.735 0.000 0.000
2.735 2.735 2.051
0.000 0.000 2.051
```

Results
E	-0.17741	hartree per atom
ΔE_f (raw)	0.65	eV/atom
SG	No. 123

***

Record 17
Compound: NaAl2Ga6
Source: the Alexandria database
Functional: PBE-GGA
Structure: optimized geometry

POSCAR file:
```
NaAl2Ga6
1.0
-1.989 3.655 6.193
1.989 -3.655 6.193
1.989 3.655 -6.193
Na Al Ga
1 2 6
Cartesian
0.000 0.000 0.000
1.989 0.000 4.747
0.000 3.655 1.446
1.989 -1.344 2.380
1.989 2.332 0.000
1.989 1.344 2.380
0.000 2.312 3.813
0.000 1.323 6.193
0.000 4.999 3.813
```

Results
E	-0.11045	hartree per atom
ΔH_f (0 K)	-9	meV per atom
SG	No. 71

***

Record 18
Compound: Na3Al2Ga4
Source: the Alexandria database
Functional: PBE-GGA
Structure: optimized geometry

POSCAR file:
```
Na3Al2Ga4
1.0
5.964 -2.122 0.000
5.964 2.122 0.000
-2.143 0.000 8.055
Na Al Ga
3 2 4
Cartesian
0.000 0.000 0.000
4.150 0.000 2.334
5.636 0.000 5.721
2.295 0.000 5.060
7.491 0.000 2.995
0.102 0.000 3.523
1.264 0.000 7.440
8.521 0.000 0.615
9.684 0.000 4.532
```

Results
E	-0.09876	hartree per atom
ΔH_f (0 K)	-71	meV per atom
SG	No. 12

***

Record 19
Compound: NaAlGa
Source: the Alexandria database
Functional: PBE-GGA
Structure: optimized geometry

POSCAR file:
```
NaAlGa
1.0
4.582 0.000 0.000
0.000 6.866 0.000
0.000 0.000 7.967
Na Al Ga
4 4 4
Cartesian
0.000 1.704 0.000
0.000 5.162 0.000
2.291 1.729 3.984
2.291 5.137 3.984
0.000 0.000 2.643
0.000 0.000 5.324
2.291 3.433 1.340
2.291 3.433 6.627
0.000 3.433 2.663
0.000 3.433 5.305
2.291 0.000 1.321
2.291 0.000 6.646
```

Results
E	-0.09874	hartree per atom
ΔH_f (0 K)	9	meV per atom
energy relative to the lowest polymorph listed for this composition	0.057	eV per atom
SG	No. 71

***

Record 20
Compound: NaAl3Ga
Source: the Alexandria database
Functional: PBE-GGA
Structure: optimized geometry

POSCAR file:
```
NaAl3Ga
1.0
0.000 2.981 5.783
2.969 0.000 5.783
2.969 2.981 0.000
Na Al Ga
1 3 1
Cartesian
0.000 0.000 0.000
1.484 1.491 2.820
2.969 2.981 4.481
4.453 4.472 8.603
2.969 2.981 7.007
```

Results
E	-0.11620	hartree per atom
ΔH_f (0 K)	-47	meV per atom
energy relative to the lowest polymorph listed for this composition	0.000	eV per atom
SG	No. 42